No. 1
Density functional theory data (PBE) for an optimized crystal structure of HfZn2Ru2.

```
data_HfZn2Ru2
_chemical_formula_sum 'Hf2 Zn4 Ru4'
_space_group_name_H-M_alt 'P 1'
_space_group_IT_number 1
_cell_length_a 7.029
_cell_length_b 7.029
_cell_length_c 3.181
_cell_angle_alpha 90.00
_cell_angle_beta 90.00
_cell_angle_gamma 90.00
loop_
_space_group_symop_operation_xyz
'x,y,z'
loop_
_atom_site_label
_atom_site_type_symbol
_atom_site_fract_x
_atom_site_fract_y
_atom_site_fract_z
_atom_site_occupancy
Ru1 Ru 0.362 0.862 0.000 1
Ru2 Ru 0.862 0.638 0.000 1
Ru3 Ru 0.638 0.138 0.000 1
Ru4 Ru 0.138 0.362 0.000 1
Zn1 Zn 0.158 0.658 0.500 1
Zn2 Zn 0.658 0.842 0.500 1
Zn3 Zn 0.842 0.342 0.500 1
Zn4 Zn 0.342 0.158 0.500 1
Hf1 Hf 0.000 0.000 0.000 1
Hf2 Hf 0.500 0.500 0.000 1
```

## Properties
- Total energy: -6.300 eV per atom
- Relative energy among the computed polymorphs: 116 meV/atom
- Formation energy: -0.089 eV per atom
- M_tot: 0.00 μB/f.u.

***

No. 2
Density functional theory data (PBE) for an optimized crystal structure of Hf6Zn5Ru.

```
data_Hf6Zn5Ru
_chemical_formula_sum 'Hf6 Zn5 Ru1'
_space_group_name_H-M_alt 'P 1'
_space_group_IT_number 1
_cell_length_a 4.661
_cell_length_b 6.584
_cell_length_c 7.367
_cell_angle_alpha 90.00
_cell_angle_beta 71.56
_cell_angle_gamma 90.00
loop_
_space_group_symop_operation_xyz
'x,y,z'
loop_
_atom_site_label
_atom_site_type_symbol
_atom_site_fract_x
_atom_site_fract_y
_atom_site_fract_z
_atom_site_occupancy
Ru1 Ru 0.000 0.000 0.000 1
Zn1 Zn 0.671 0.500 0.659 1
Zn2 Zn 0.333 0.000 0.334 1
Zn3 Zn 0.000 0.500 0.000 1
Zn4 Zn 0.667 0.000 0.666 1
Zn5 Zn 0.329 0.500 0.341 1
Hf1 Hf 0.836 0.753 0.328 1
Hf2 Hf 0.836 0.247 0.328 1
Hf3 Hf 0.500 0.249 0.000 1
Hf4 Hf 0.500 0.751 0.000 1
Hf5 Hf 0.164 0.753 0.672 1
Hf6 Hf 0.164 0.247 0.672 1
```

## Properties
- Total energy: -6.564 eV per atom
- Formation energy: -0.284 eV per atom
- M_tot: 0.00 μB/f.u.